First-principles (GGA-PBE) data for a relaxed structure of MgBi2O4, as listed in Alexandria.

space group = Pmmn (59)
volume = 16.7 Å³ per atom
crystal system = orthorhombic
formation energy without anion corrections = -1311 meV/atom
excess energy over the best structure of this formula in the dataset = 293 meV/atom
energy = -0.403 Ry per atom

Lattice parameters (Å, degrees): 6.7954 11.2869 6.0949 90.00 90.00 90.00
With the nearest neighbours (Å) after each atom.
Atoms (fractional coordinates):
Mg1 0.2500 0.2500 0.0278  2 O 2.13
Mg2 0.2500 0.7500 0.3576  2 O 2.02
Mg3 0.7500 0.2500 0.6424  2 O 2.02
Mg4 0.7500 0.7500 0.9722  2 O 2.13
Bi1 0.0000 0.0000 0.5000  6 O 2.30-2.57
Bi2 0.0000 0.5000 0.5000  6 O 2.30-2.57
Bi3 0.2500 0.5411 0.9926  3 O 2.22-2.26
Bi4 0.2500 0.9589 0.9926  3 O 2.22-2.26
Bi5 0.5000 0.0000 0.5000  6 O 2.30-2.57
Bi6 0.5000 0.5000 0.5000  6 O 2.30-2.57
Bi7 0.7500 0.0411 0.0074  3 O 2.22-2.26
Bi8 0.7500 0.4589 0.0074  3 O 2.22-2.26
O1 0.0100 0.6291 0.1769  2 Bi 2.22-2.45, 1 Mg 2.40
O2 0.0100 0.8709 0.1769  2 Bi 2.22-2.45, 1 Mg 2.40
O3 0.2500 0.1038 0.2494  1 Mg 2.13, 1 Bi 2.26
O4 0.2500 0.3962 0.2494  1 Mg 2.13, 1 Bi 2.26
O5 0.2500 0.6267 0.5986  1 Mg 2.02
O6 0.2500 0.8733 0.5986  1 Mg 2.02
O7 0.4900 0.6291 0.1769  2 Bi 2.22-2.45, 1 Mg 2.40
O8 0.4900 0.8709 0.1769  2 Bi 2.22-2.45, 1 Mg 2.40
O9 0.5100 0.1291 0.8231  2 Bi 2.22-2.45, 1 Mg 2.40
O10 0.5100 0.3709 0.8231  2 Bi 2.22-2.45, 1 Mg 2.40
O11 0.7500 0.1267 0.4014  1 Mg 2.02
O12 0.7500 0.3733 0.4014  1 Mg 2.02
O13 0.7500 0.6038 0.7506  1 Mg 2.13, 1 Bi 2.26
O14 0.7500 0.8962 0.7506  1 Mg 2.13, 1 Bi 2.26
O15 0.9900 0.1291 0.8231  2 Bi 2.22-2.45, 1 Mg 2.40
O16 0.9900 0.3709 0.8231  2 Bi 2.22-2.45, 1 Mg 2.40